This record from the Alexandria database describes crystalline RbCeTcO6 at its relaxed geometry. The functional is PBE.

Symmetry: P312, No. 149
Formation energy (no corrections), eV/atom: -2.03
Crystal system: trigonal

a = 5.6504 Å, b = 5.6503 Å, c = 6.1582 Å
α = 90.00°, β = 90.00°, γ = 60.00°
Element x y z (fractional)
Rb: 0.0000 0.0000 0.0000
Ce: 0.6666 0.6667 0.5000
Tc: 0.3333 0.3333 0.5000
O: 0.0427 0.3647 0.3225
O: 0.3647 0.0427 0.6775
O: 0.5925 0.3648 0.6775
O: 0.0426 0.5926 0.6775
O: 0.3648 0.5926 0.3225
O: 0.5926 0.0426 0.3225


This record from the Alexandria database describes crystalline Pa6Tc3Ir at its relaxed geometry. The functional is PBE.

Symmetry: P2_1/c, No. 14
Energy relative to the elements, eV/atom: -0.1687
Crystal system: monoclinic

a = 6.9426 Å, b = 7.0616 Å, c = 9.4887 Å
α = 90.00°, β = 91.20°, γ = 90.00°
Element x y z (fractional)
Pa: 0.6638 0.1745 0.9105
Pa: 0.6391 0.1402 0.5537
Pa: 0.7160 0.4431 0.2538
Pa: 0.2840 0.5569 0.7462
Pa: 0.3609 0.8598 0.4463
Pa: 0.3362 0.8255 0.0895
Pa: 0.1638 0.3255 0.4105
Pa: 0.1391 0.3598 0.0537
Pa: 0.2160 0.0569 0.7538
Pa: 0.7840 0.9431 0.2462
Pa: 0.8609 0.6402 0.9463
Pa: 0.8362 0.6745 0.5895
Tc: 0.5243 0.8420 0.7939
Tc: 0.5000 0.5000 0.0000
Tc: 0.4757 0.1580 0.2061
Tc: 0.0243 0.6580 0.2939
Tc: 0.0000 0.0000 0.5000
Tc: 0.9757 0.3420 0.7061
Ir: 0.5000 0.5000 0.5000
Ir: 0.0000 0.0000 0.0000


This record from the Alexandria database describes crystalline TaTlHgOs2 at its relaxed geometry. The functional is PBE.

Symmetry: P4/mmm, No. 123
Energy relative to the elements, eV/atom: 2.8172
Crystal system: tetragonal

a = 4.9336 Å, b = 5.0438 Å, c = 4.9336 Å
α = 90.00°, β = 90.00°, γ = 90.00°
Element x y z (fractional)
Tl: 0.0000 0.0000 0.0000
Os: 0.0000 0.0000 0.5000
Os: 0.5000 0.0000 0.0000
Hg: 0.5000 0.5000 0.5000
Ta: 0.0000 0.5000 0.0000


| no. | magnetization (μB per atom) | DFT total energy (eV/atom) |
| --- | --- | --- |
| 1 | 0.0000 | -7.2539 |
| 2 | 0.0000 | -9.8621 |
| 3 | 0.0001 | -4.5789 |